! LaPr3N4 (PBE, relaxed); values from VASP
&SYSTEM
  ibrav = 0, nat = 8, ntyp = 3
/
ATOMIC_SPECIES
Pr 140.91 Pr.upf
N 14.01 N.upf
La 138.91 La.upf
ATOMIC_POSITIONS angstrom
Pr -2.967 -1.221 0.108
Pr -1.034 -2.870 2.807
Pr 2.107 -2.228 0.947
N -0.432 -1.732 0.530
N -1.287 -5.166 1.580
N -3.566 -2.367 2.388
La -0.175 0.579 1.752
N 1.498 -3.373 3.226
CELL_PARAMETERS angstrom
-0.349 1.159 3.504
-5.933 -2.441 0.216
4.214 -4.457 1.894
! ρ: 7.120 g/cm3
! DOS at the Fermi energy: 0.11 states/eV/atom
! ΔE_f (raw): -1.2954 eV/atom
! total magnetic moment: 0.000 μB per atom

=====

! La2PrN2 (PBE, relaxed); values from VASP
&SYSTEM
  ibrav = 0, nat = 20, ntyp = 3
/
ATOMIC_SPECIES
La 138.91 La.upf
N 14.01 N.upf
Pr 140.91 Pr.upf
ATOMIC_POSITIONS angstrom
La -4.915 -1.308 2.250
N -2.408 -0.301 2.021
N -5.697 0.948 3.425
La -3.288 1.904 3.227
La -6.783 -3.293 4.912
N -5.507 -0.398 -0.012
La -6.838 -1.913 8.378
Pr -7.808 -1.312 0.178
N -7.355 -2.304 2.504
La -6.269 1.937 1.017
N -6.084 -4.200 7.245
N -10.644 -1.054 3.908
La -8.137 -0.048 3.679
La -9.763 -3.260 2.702
N -7.544 -0.957 5.941
Pr -5.244 -0.043 5.751
La -6.213 0.558 -2.449
N -6.967 2.844 -1.316
Pr -3.074 0.566 -0.207
Pr -9.978 -1.922 6.136
CELL_PARAMETERS angstrom
-1.619 4.542 2.250
-6.110 -0.096 -4.199
-5.323 -5.801 7.878
! ρ: 6.753 g/cm3
! DOS at the Fermi energy: 0.58 states/eV/atom
! ΔE_f (raw): -1.0302 eV/atom
! total magnetic moment: 0.000 μB per atom
! ΔE to the lowest computed polymorph: 0.013 eV/f.u.